No. 1
Compound: La8Pr3Dy2
Source: Alexandria via LeMat-Bulk
Functional: PBE
Structure: optimized geometry

Cell lengths 9.0455, 9.0455, 6.2775 Å; angles 106.81, 106.81, 82.95 degrees
Closest atoms and distances in Å follow each position.
Positions (direct):
1 La 0.0516 0.0516 0.2939  2 Dy 3.27-3.34, 4 La 3.38-3.56, 2 Pr 3.48
2 La 0.0637 0.5836 0.8247  2 Dy 3.48-3.71, 4 La 3.51-3.79, 2 Pr 3.70-3.82
3 La 0.3548 0.3548 0.4449  3 Pr 3.27-3.49, 1 Dy 3.54
4 La 0.4164 0.9363 0.1753  2 Dy 3.48-3.71, 4 La 3.51-3.79, 2 Pr 3.70-3.82
5 La 0.5836 0.0637 0.8247  2 Dy 3.48-3.71, 4 La 3.51-3.79, 2 Pr 3.70-3.82
6 La 0.6452 0.6452 0.5551  3 Pr 3.27-3.49, 1 Dy 3.54
7 La 0.9363 0.4164 0.1753  2 Dy 3.48-3.71, 4 La 3.51-3.79, 2 Pr 3.70-3.82
8 La 0.9484 0.9484 0.7061  2 Dy 3.27-3.34, 4 La 3.38-3.56, 2 Pr 3.48
9 Pr 0.2540 0.7460 0.5000  6 La 3.48-3.70
10 Pr 0.5000 0.5000 0.0000  2 La 3.27, 2 Dy 3.63
11 Pr 0.7460 0.2540 0.5000  6 La 3.48-3.70
12 Dy 0.2120 0.2120 0.8384  5 La 3.27-3.54, 1 Pr 3.63
13 Dy 0.7880 0.7880 0.1616  5 La 3.27-3.54, 1 Pr 3.63

density of states at the Fermi level: 1.70 states/eV per atom
E: -4.71 eV per atom
energy of formation from the pure elements: 0.137 eV per atom
spin magnetization: 0.00 μB per atom
excess energy over the best structure of this formula in the dataset: 0.000 eV/f.u.



No. 2
Compound: La8PrDy6
Source: Alexandria via LeMat-Bulk
Functional: PBE
Structure: optimized geometry

Cell lengths 9.5164, 9.5164, 6.6659 Å; angles 90.00, 90.00, 120.00 degrees
Closest atoms and distances in Å follow each position.
Positions (direct):
1 La 0.0461 0.2935 0.3295  3 La 3.24-3.45, 3 Dy 3.40-3.62, 1 Pr 3.40
2 La 0.2474 0.9539 0.3295  3 La 3.24-3.45, 3 Dy 3.40-3.62, 1 Pr 3.40
3 La 0.2935 0.2474 0.6705  3 La 3.24-3.45, 3 Dy 3.40-3.62, 1 Pr 3.40
4 La 0.3333 0.6667 0.3773  3 La 3.24
5 La 0.6667 0.3333 0.6227  3 La 3.24
6 La 0.7065 0.7526 0.3295  3 La 3.24-3.45, 3 Dy 3.40-3.62, 1 Pr 3.40
7 La 0.7526 0.0461 0.6705  3 La 3.24-3.45, 3 Dy 3.40-3.62, 1 Pr 3.40
8 La 0.9539 0.7065 0.6705  3 La 3.24-3.45, 3 Dy 3.40-3.62, 1 Pr 3.40
9 Pr 0.0000 0.0000 0.0000  6 La 3.40
10 Dy 0.0993 0.4417 0.8435  1 Dy 3.35, 5 La 3.40-3.74
11 Dy 0.3424 0.9007 0.8435  1 Dy 3.35, 5 La 3.40-3.74
12 Dy 0.4417 0.3424 0.1565  1 Dy 3.35, 5 La 3.40-3.74
13 Dy 0.5583 0.6576 0.8435  1 Dy 3.35, 5 La 3.40-3.74
14 Dy 0.6576 0.0993 0.1565  1 Dy 3.35, 5 La 3.40-3.74
15 Dy 0.9007 0.5583 0.1565  1 Dy 3.35, 5 La 3.40-3.74

density of states at the Fermi level: 1.80 states/eV per atom
E: -4.62 eV per atom
energy of formation from the pure elements: 0.169 eV per atom
spin magnetization: 0.00 μB per atom



No. 3
Compound: La4PrDy7
Source: Alexandria via LeMat-Bulk
Functional: PBE
Structure: optimized geometry

Cell lengths 3.6320, 3.6320, 35.2953 Å; angles 90.00, 90.00, 120.00 degrees
Closest atoms and distances in Å follow each position.
Positions (direct):
1 La 0.3333 0.6667 0.1671  6 La 3.63, 6 Dy 3.63-3.64
2 La 0.3333 0.6667 0.4163  6 Dy 3.62-3.64, 6 La 3.63
3 La 0.6667 0.3333 0.5837  6 Dy 3.62-3.64, 6 La 3.63
4 La 0.6667 0.3333 0.8329  6 La 3.63, 6 Dy 3.63-3.64
5 Pr 0.0000 0.0000 0.0000  6 Dy 3.60, 6 Pr 3.63
6 Dy 0.0000 0.0000 0.2515  9 Dy 3.53-3.63, 3 La 3.64
7 Dy 0.0000 0.0000 0.5000  6 La 3.62, 6 Dy 3.63
8 Dy 0.0000 0.0000 0.7485  9 Dy 3.53-3.63, 3 La 3.64
9 Dy 0.3333 0.6667 0.6681  9 Dy 3.53-3.63, 3 La 3.64
10 Dy 0.3333 0.6667 0.9170  3 Pr 3.60, 6 Dy 3.63, 3 La 3.63
11 Dy 0.6667 0.3333 0.0830  3 Pr 3.60, 6 Dy 3.63, 3 La 3.63
12 Dy 0.6667 0.3333 0.3319  9 Dy 3.53-3.63, 3 La 3.64

density of states at the Fermi level: 1.33 states/eV per atom
E: -4.71 eV per atom
energy of formation from the pure elements: 0.016 eV per atom
spin magnetization: 0.00 μB per atom
excess energy over the best structure of this formula in the dataset: 0.000 eV/f.u.